Sr2NdBiO6: optimized geometry, GGA-PBEsol.

## Properties
The uncorrected formation energy comes out at -2402 meV per atom. As for the space-group type: P2_1/c. For the volume, the calculation gives 15.484 Å³ per atom.

Cell lengths 5.9432, 6.1279, 8.5031 Å; angles 90.00, 89.70, 90.00 degrees
Closest atoms and distances in Å follow each position.
Atoms (fractional coordinates):
Sr: 0.5150 0.0494 0.2492  5 O 2.50-2.78
Sr: 0.9850 0.5494 0.2508  5 O 2.50-2.78
Sr: 0.4850 0.9506 0.7508  5 O 2.50-2.78
Sr: 0.0150 0.4506 0.7492  5 O 2.50-2.78
Nd: 0.5000 0.5000 0.0000  6 O 2.31-2.34
Nd: 0.0000 0.0000 0.5000  6 O 2.31-2.34
Bi: 0.5000 0.5000 0.5000  6 O 2.12-2.14
Bi: 0.0000 0.0000 0.0000  6 O 2.12-2.14
O: 0.2863 0.1936 0.9464  1 Bi 2.12, 1 Nd 2.31
O: 0.2137 0.6936 0.5536  1 Bi 2.12, 1 Nd 2.31
O: 0.7137 0.8064 0.0536  1 Bi 2.12, 1 Nd 2.31
O: 0.7863 0.3064 0.4464  1 Bi 2.12, 1 Nd 2.31
O: 0.1887 0.7152 0.9397  1 Bi 2.14, 1 Nd 2.33
O: 0.3113 0.2152 0.5603  1 Bi 2.14, 1 Nd 2.33
O: 0.8113 0.2848 0.0603  1 Bi 2.14, 1 Nd 2.33
O: 0.6887 0.7848 0.4397  1 Bi 2.14, 1 Nd 2.33
O: 0.6065 0.5439 0.7371  1 Bi 2.13, 1 Nd 2.34
O: 0.8935 0.0439 0.7629  1 Bi 2.13, 1 Nd 2.34
O: 0.3935 0.4561 0.2629  1 Bi 2.13, 1 Nd 2.34
O: 0.1065 0.9561 0.2371  1 Bi 2.13, 1 Nd 2.34